A geometry-optimized NaTl2Ag structure. Source: the Alexandria database, functional PBE.

Geometry as extended XYZ:
```
4
Lattice="2.519 1.454 4.962 -2.519 1.454 4.962 0.000 -2.908 4.962" Properties=species:S:1:pos:R:3 pbc="T T T"
Na 0.000 0.000 0.000
Tl 0.000 0.000 3.300
Tl 0.000 0.000 6.577
Ag 0.000 0.000 11.820
```

Summary:
DFT formation energy = 0.046 eV per formula unit
Size of the total moment = 0.00 μB/cell
DOS(E_F) = 0.426 states/eV/atom

***

A geometry-optimized Na9TlAg4 structure. Source: the Alexandria database, functional PBE.

Geometry as extended XYZ:
```
28
Lattice="9.842 0.000 0.000 -4.921 8.523 0.000 0.000 0.000 9.284" Properties=species:S:1:pos:R:3 pbc="T T T"
Na -1.886 4.593 2.321
Na 0.000 3.151 5.156
Na 0.000 3.151 8.770
Na -2.192 6.948 5.156
Na -2.192 6.948 8.770
Na 2.729 1.575 0.514
Na 2.729 1.575 4.128
Na 1.886 4.593 2.321
Na 0.000 7.860 2.321
Na 4.921 0.663 6.963
Na 3.035 3.930 6.963
Na 2.192 6.948 5.156
Na 2.192 6.948 8.770
Na 7.113 1.575 0.514
Na 7.113 1.575 4.128
Na 4.921 5.372 0.514
Na 4.921 5.372 4.128
Na 6.807 3.930 6.963
Tl 0.000 5.682 6.963
Tl 4.921 2.841 2.321
Ag 0.000 0.000 0.000
Ag 0.000 0.000 4.642
Ag 0.000 1.759 2.321
Ag -3.398 7.644 2.321
Ag 1.523 0.879 6.963
Ag 3.398 7.644 2.321
Ag 8.319 0.879 6.963
Ag 4.921 6.764 6.963
```

Summary:
DFT formation energy = -0.461 eV per formula unit
Size of the total moment = 0.00 μB/cell
DOS(E_F) = 0.277 states/eV/atom

***

A geometry-optimized Na3Tl4Ag2 structure. Source: the Alexandria database, functional PBE.

Geometry as extended XYZ:
```
9
Lattice="5.138 0.000 0.000 -2.561 5.709 0.000 -0.008 -2.127 8.100" Properties=species:S:1:pos:R:3 pbc="T T T"
Na 0.000 0.000 0.000
Na 0.001 3.745 5.438
Na 2.569 -0.163 2.662
Tl 0.009 0.384 4.754
Tl -0.003 1.666 7.854
Tl 2.572 1.917 0.245
Tl 2.561 3.198 3.345
Ag -0.009 2.172 2.266
Ag 2.579 1.411 5.833
```

Summary:
DFT formation energy = -0.457 eV per formula unit
Size of the total moment = 0.00 μB/cell
DOS(E_F) = 0.279 states/eV/atom

***

A geometry-optimized Na6Tl2Ag structure. Source: the Alexandria database, functional PBE.

Geometry as extended XYZ:
```
9
Lattice="2.741 1.583 10.477 -2.741 1.583 10.477 0.000 -3.165 10.477" Properties=species:S:1:pos:R:3 pbc="T T T"
Na 0.000 0.000 2.463
Na 0.000 0.000 6.168
Na 0.000 0.000 9.660
Na 0.000 0.000 21.771
Na 0.000 0.000 25.263
Na 0.000 0.000 28.969
Tl 0.000 0.000 12.894
Tl 0.000 0.000 18.538
Ag 0.000 0.000 15.716
```

Summary:
DFT formation energy = -0.442 eV per formula unit
Size of the total moment = 0.00 μB/cell
DOS(E_F) = 0.650 states/eV/atom

***

A geometry-optimized Na3TlAg structure. Source: the Alexandria database, functional PBE.

Geometry as extended XYZ:
```
10
Lattice="6.011 0.000 0.000 0.000 5.453 0.000 -2.900 0.000 8.027" Properties=species:S:1:pos:R:3 pbc="T T T"
Na -0.539 1.363 2.300
Na -0.434 1.363 5.577
Na 2.222 1.363 0.844
Na 0.889 4.090 7.182
Na 3.546 4.090 2.450
Na 3.650 4.090 5.726
Tl 0.621 4.090 3.788
Tl 2.490 1.363 4.238
Ag 0.457 4.090 0.755
Ag 2.655 1.363 7.271
```

Summary:
DFT formation energy = -0.235 eV per formula unit
Size of the total moment = 0.00 μB/cell
DOS(E_F) = 0.450 states/eV/atom

***

A geometry-optimized Na8Tl5Ag structure. Source: the Alexandria database, functional PBE.

Geometry as extended XYZ:
```
14
Lattice="-4.603 4.603 4.945 4.603 -4.603 4.945 4.603 4.603 -4.945" Properties=species:S:1:pos:R:3 pbc="T T T"
Na 1.613 -0.839 2.391
Na 2.990 5.442 -2.555
Na 0.639 2.930 0.848
Na 3.764 2.990 2.555
Na -0.639 6.276 0.848
Na -1.673 3.964 4.097
Na 0.839 1.613 7.500
Na 1.673 5.242 4.097
Tl 3.648 2.729 -0.728
Tl 4.603 0.000 2.473
Tl 1.874 -0.954 5.673
Tl 0.954 1.874 4.217
Tl 2.729 5.557 0.728
Ag 0.000 0.000 0.000
```

Summary:
DFT formation energy = -0.526 eV per formula unit
Size of the total moment = 0.00 μB/cell
DOS(E_F) = 0.452 states/eV/atom

***

A geometry-optimized Na8Tl3Ag structure. Source: the Alexandria database, functional PBE.

Geometry as extended XYZ:
```
12
Lattice="0.000 5.297 7.530 5.198 0.000 7.530 5.198 5.297 0.000" Properties=species:S:1:pos:R:3 pbc="T T T"
Na 7.884 5.297 5.694
Na 5.198 2.573 5.734
Na 5.198 2.573 9.326
Na 7.884 5.297 9.366
Na 2.513 5.297 5.694
Na 5.198 8.022 5.734
Na 5.198 8.022 9.326
Na 2.513 5.297 9.366
Tl 2.599 2.649 3.765
Tl 5.198 5.297 7.530
Tl 7.798 7.946 11.295
Ag 0.000 0.000 0.000
```

Summary:
DFT formation energy = 0.591 eV per formula unit
Size of the total moment = 0.00 μB/cell
DOS(E_F) = 0.438 states/eV/atom

***

A geometry-optimized NaTl3Ag structure. Source: the Alexandria database, functional PBE.

Geometry as extended XYZ:
```
5
Lattice="5.569 0.000 0.000 0.000 5.569 0.000 0.000 0.000 5.569" Properties=species:S:1:pos:R:3 pbc="T T T"
Na 0.000 0.000 0.000
Tl 0.000 2.784 2.784
Tl 2.784 0.000 2.784
Tl 2.784 2.784 0.000
Ag 2.784 2.784 2.784
```

Summary:
DFT formation energy = 0.819 eV per formula unit
Size of the total moment = 0.00 μB/cell
DOS(E_F) = 0.671 states/eV/atom

***

A geometry-optimized Na5Tl3Ag3 structure. Source: the Alexandria database, functional PBE.

Geometry as extended XYZ:
```
11
Lattice="10.450 0.000 0.000 -5.225 9.050 0.000 0.000 0.000 3.148" Properties=species:S:1:pos:R:3 pbc="T T T"
Na -1.715 2.971 0.000
Na 3.430 0.000 0.000
Na 0.000 6.033 0.000
Na 5.225 3.017 0.000
Na 3.510 6.079 0.000
Tl -3.161 5.474 1.574
Tl 2.064 3.576 1.574
Tl 6.321 0.000 1.574
Ag -4.415 7.647 0.000
Ag 0.810 1.403 0.000
Ag 8.830 0.000 0.000
```

Summary:
DFT formation energy = 0.216 eV per formula unit
Size of the total moment = 0.00 μB/cell
DOS(E_F) = 0.407 states/eV/atom

***

A geometry-optimized Na12Tl2Ag structure. Source: the Alexandria database, functional PBE.

Geometry as extended XYZ:
```
30
Lattice="6.694 0.000 0.000 0.000 6.694 0.000 0.000 0.000 23.961" Properties=species:S:1:pos:R:3 pbc="T T T"
Na 0.000 6.693 1.925
Na 6.693 0.000 22.036
Na 6.693 3.347 1.925
Na 0.000 3.347 22.036
Na 0.465 3.812 10.351
Na 0.465 6.229 13.611
Na 1.673 1.673 4.488
Na 1.673 1.673 7.586
Na 1.673 1.673 16.375
Na 1.673 1.673 19.473
Na 2.882 3.812 13.611
Na 2.882 6.229 10.351
Na 3.347 0.000 1.925
Na 3.347 6.693 22.036
Na 3.347 3.347 1.925
Na 3.347 3.347 22.036
Na 3.812 0.465 13.611
Na 3.812 2.882 10.351
Na 5.020 5.020 4.488
Na 5.020 5.020 7.586
Na 5.020 5.020 16.375
Na 5.020 5.020 19.473
Na 6.229 0.465 10.351
Na 6.229 2.882 13.611
Tl 1.673 5.020 4.832
Tl 1.673 5.020 19.130
Tl 5.020 1.673 4.832
Tl 5.020 1.673 19.130
Ag 1.673 5.020 0.000
Ag 5.020 1.673 0.000
```

Summary:
DFT formation energy = 1.119 eV per formula unit
Size of the total moment = 0.00 μB/cell
DOS(E_F) = 0.467 states/eV/atom

***

A geometry-optimized Na6TlAg structure. Source: the Alexandria database, functional PBE.

Geometry as extended XYZ:
```
8
Lattice="4.867 0.000 0.000 0.000 4.867 0.000 0.000 0.000 9.822" Properties=species:S:1:pos:R:3 pbc="T T T"
Na 0.000 0.000 0.000
Na 0.000 0.000 4.911
Na 0.000 2.433 2.297
Na 0.000 2.433 7.525
Na 2.433 0.000 2.297
Na 2.433 0.000 7.525
Tl 2.433 2.433 4.911
Ag 2.433 2.433 0.000
```

Summary:
DFT formation energy = -0.213 eV per formula unit
Size of the total moment = 0.00 μB/cell
DOS(E_F) = 0.245 states/eV/atom

***

A geometry-optimized NaTl3Ag structure. Source: the Alexandria database, functional PBE.

Geometry as extended XYZ:
```
20
Lattice="10.269 0.000 0.000 0.000 4.372 0.000 0.000 0.000 12.695" Properties=species:S:1:pos:R:3 pbc="T T T"
Na 2.026 1.093 0.059
Na 3.109 3.279 6.407
Na 7.160 1.093 6.288
Na 8.243 3.279 12.636
Tl 0.565 1.093 5.143
Tl 0.833 3.279 2.379
Tl 1.671 3.279 10.201
Tl 3.463 1.093 3.853
Tl 4.301 1.093 8.727
Tl 4.570 3.279 11.490
Tl 5.699 1.093 1.205
Tl 5.967 3.279 3.968
Tl 6.805 3.279 8.842
Tl 8.598 1.093 2.494
Tl 9.436 1.093 10.316
Tl 9.704 3.279 7.553
Ag 1.437 1.093 8.078
Ag 3.698 3.279 1.731
Ag 6.571 1.093 10.965
Ag 8.832 3.279 4.617
```

Summary:
DFT formation energy = 0.022 eV per formula unit
Size of the total moment = 0.00 μB/cell
DOS(E_F) = 0.350 states/eV/atom

***

Number 1: calculated density 8.22 g/cm³. Number 2: calculated density 3.59 g/cm³. Number 3: calculated density 7.70 g/cm³. Number 4: calculated density 3.99 g/cm³. Number 5: calculated density 4.81 g/cm³. Number 6: calculated density 5.21 g/cm³. Number 7: calculated density 3.62 g/cm³. Number 8: calculated density 7.15 g/cm³. Number 9: calculated density 5.87 g/cm³. Number 10: calculated density 2.45 g/cm³. Number 11: calculated density 3.21 g/cm³. Number 12: calculated density 8.67 g/cm³.